Material: Pr8Si3PCl4
Method: DFT, PBE
State: optimized geometry

uncorrected energy: -5.50 eV per atom
formation energy without anion corrections: -1.30 eV/atom
spin magnetization: 0.00 μB/cell

Cell: 8.6280 8.6280 8.6280 Å, 58.82 58.82 58.82°
Element x y z (fractional)
Pr (0.2412, 0.2412, 0.2412)
Pr (0.2424, 0.7385, 0.7385)
Pr (0.2615, 0.2615, 0.7576)
Pr (0.2615, 0.7576, 0.2615)
Pr (0.7385, 0.2424, 0.7385)
Pr (0.7385, 0.7385, 0.2424)
Pr (0.7576, 0.2615, 0.2615)
Pr (0.7588, 0.7588, 0.7588)
Si (0.0000, 0.0000, 0.5000)
Si (0.0000, 0.5000, 0.0000)
Si (0.5000, 0.0000, 0.0000)
P (0.5000, 0.5000, 0.5000)
Cl (0.0000, 0.0000, 0.0000)
Cl (0.0000, 0.5000, 0.5000)
Cl (0.5000, 0.0000, 0.5000)
Cl (0.5000, 0.5000, 0.0000)


Material: Pr6Si2PCl3
Method: DFT, PBE
State: optimized geometry

uncorrected energy: -5.54 eV per atom
formation energy without anion corrections: -1.33 eV/atom
spin magnetization: 0.00 μB/cell

Cell: 9.5801 9.5801 8.5866 Å, 104.14 104.14 25.53°
Element x y z (fractional)
Pr (0.0061, 0.0061, 0.2292)
Pr (0.3277, 0.3277, 0.4314)
Pr (0.3412, 0.3412, 0.9043)
Pr (0.6588, 0.6588, 0.0957)
Pr (0.6723, 0.6723, 0.5686)
Pr (0.9939, 0.9939, 0.7708)
Si (0.1662, 0.1662, 0.3316)
Si (0.8338, 0.8338, 0.6684)
P (0.5000, 0.5000, 0.0000)
Cl (0.1679, 0.1679, 0.8339)
Cl (0.5000, 0.5000, 0.5000)
Cl (0.8321, 0.8321, 0.1661)


Material: Pr8SiP3Cl4
Method: DFT, PBE
State: optimized geometry

uncorrected energy: -5.72 eV per atom
formation energy without anion corrections: -1.51 eV/atom
spin magnetization: 0.00 μB/cell

Cell: 8.5575 8.5575 8.5575 Å, 58.66 58.66 58.66°
Element x y z (fractional)
Pr (0.2360, 0.7406, 0.7406)
Pr (0.2379, 0.2379, 0.2379)
Pr (0.2594, 0.2594, 0.7640)
Pr (0.2594, 0.7640, 0.2594)
Pr (0.7406, 0.2360, 0.7406)
Pr (0.7406, 0.7406, 0.2360)
Pr (0.7621, 0.7621, 0.7621)
Pr (0.7640, 0.2594, 0.2594)
Si (0.5000, 0.5000, 0.5000)
P (0.0000, 0.0000, 0.5000)
P (0.0000, 0.5000, 0.0000)
P (0.5000, 0.0000, 0.0000)
Cl (0.0000, 0.0000, 0.0000)
Cl (0.0000, 0.5000, 0.5000)
Cl (0.5000, 0.0000, 0.5000)
Cl (0.5000, 0.5000, 0.0000)


Material: Pr4SiPCl2
Method: DFT, PBE
State: optimized geometry

uncorrected energy: -5.61 eV per atom
formation energy without anion corrections: -1.41 eV/atom
spin magnetization: 0.00 μB/cell

Cell: 7.2865 4.2126 7.5022 Å, 90.00 108.96 90.00°
Element x y z (fractional)
Pr (0.2359, 0.0000, 0.2163)
Pr (0.2568, 0.5000, 0.7798)
Pr (0.7432, 0.5000, 0.2202)
Pr (0.7641, 0.0000, 0.7837)
Si (0.5000, 0.0000, 0.0000)
P (0.0000, 0.5000, 0.0000)
Cl (0.0000, 0.0000, 0.5000)
Cl (0.5000, 0.5000, 0.5000)


Material: Pr6SiP2Cl3
Method: DFT, PBE
State: optimized geometry

uncorrected energy: -5.68 eV per atom
formation energy without anion corrections: -1.48 eV/atom
spin magnetization: 0.00 μB/cell

Cell: 9.5426 9.5426 8.5755 Å, 104.44 104.44 25.36°
Element x y z (fractional)
Pr (0.0081, 0.0081, 0.2364)
Pr (0.3256, 0.3256, 0.4371)
Pr (0.3398, 0.3398, 0.8968)
Pr (0.6602, 0.6602, 0.1032)
Pr (0.6744, 0.6744, 0.5629)
Pr (0.9919, 0.9919, 0.7636)
Si (0.5000, 0.5000, 0.0000)
P (0.1675, 0.1675, 0.3339)
P (0.8325, 0.8325, 0.6661)
Cl (0.1655, 0.1655, 0.8317)
Cl (0.5000, 0.5000, 0.5000)
Cl (0.8345, 0.8345, 0.1683)


Material: PrSmPCl
Method: DFT, PBE
State: optimized geometry

uncorrected energy: -5.77 eV per atom
formation energy without anion corrections: -1.59 eV/atom
spin magnetization: 0.00 μB/cell

Cell: 4.0508 4.0508 21.7681 Å, 90.00 90.00 120.00°
Element x y z (fractional)
Pr (0.0000, 0.0000, 0.0000)
Pr (0.3333, 0.6667, 0.6667)
Pr (0.6667, 0.3333, 0.3333)
Sm (0.0000, 0.0000, 0.8082)
Sm (0.3333, 0.6667, 0.4748)
Sm (0.6667, 0.3333, 0.1415)
P (0.0000, 0.0000, 0.4078)
P (0.3333, 0.6667, 0.0745)
P (0.6667, 0.3333, 0.7412)
Cl (0.0000, 0.0000, 0.2339)
Cl (0.3333, 0.6667, 0.9006)
Cl (0.6667, 0.3333, 0.5673)


Material: Pr6TeP2Cl3
Method: DFT, PBE
State: optimized geometry

uncorrected energy: -5.54 eV per atom
formation energy without anion corrections: -1.52 eV/atom
spin magnetization: 0.00 μB/cell

Cell: 9.4630 9.4630 8.6384 Å, 99.55 99.55 25.60°
Element x y z (fractional)
Pr (0.0185, 0.0185, 0.2693)
Pr (0.3277, 0.3277, 0.4362)
Pr (0.3279, 0.3279, 0.8847)
Pr (0.6721, 0.6721, 0.1153)
Pr (0.6723, 0.6723, 0.5638)
Pr (0.9815, 0.9815, 0.7307)
Te (0.5000, 0.5000, 0.0000)
P (0.1734, 0.1734, 0.3383)
P (0.8266, 0.8266, 0.6617)
Cl (0.1611, 0.1611, 0.8331)
Cl (0.5000, 0.5000, 0.5000)
Cl (0.8389, 0.8389, 0.1669)


Material: Pr6Te3P2Cl
Method: DFT, PBE
State: optimized geometry

uncorrected energy: -5.76 eV per atom
formation energy without anion corrections: -1.53 eV/atom
spin magnetization: 0.00 μB/cell

Cell: 9.8183 9.8183 8.8710 Å, 104.30 104.30 25.27°
Element x y z (fractional)
Pr (0.0145, 0.0145, 0.2473)
Pr (0.3243, 0.3243, 0.4372)
Pr (0.3319, 0.3319, 0.8833)
Pr (0.6681, 0.6681, 0.1167)
Pr (0.6757, 0.6757, 0.5628)
Pr (0.9855, 0.9855, 0.7527)
Te (0.1619, 0.1619, 0.8341)
Te (0.5000, 0.5000, 0.5000)
Te (0.8381, 0.8381, 0.1659)
P (0.1681, 0.1681, 0.3350)
P (0.8319, 0.8319, 0.6650)
Cl (0.5000, 0.5000, 0.0000)